K2PtI5 after structural relaxation, computed with PBE.

a b c (Å): 7.6820 7.6820 7.6820
angles (deg): 113.67 113.67 101.37
With the nearest neighbours (Å) after each atom.
Element x y z (fractional)
K1 0.0000 0.5000 0.5000  10 I 3.82-4.24
K2 0.5000 0.0000 0.5000  10 I 3.82-4.24
Pt1 0.2269 0.2269 0.0000  5 I 2.68-2.77
I1 0.0306 0.0306 0.5515  1 Pt 2.68
I2 0.0306 0.4790 0.0000  1 Pt 2.68
I3 0.4790 0.0306 0.0000  1 Pt 2.68
I4 0.4790 0.4790 0.4485  1 Pt 2.68
I5 0.9424 0.9424 0.0000  1 Pt 2.77

For the energy above the most stable polymorph in this dataset, the calculation gives 42.0 meV/atom. Its space group is I4mm, No. 107. The calculated volume comes out at 42.98 A^3/atom. The uncorrected formation energy comes out at -580 kJ/mol of formula units.